(1)
## Al2CuHg (PBE)

Data for crystalline Al2CuHg at its relaxed geometry.

a = 4.0544 Å, b = 4.0544 Å, c = 8.2325 Å
α = 90.00°, β = 90.00°, γ = 90.00°
With the nearest neighbours (Å) after each atom.
Space group I-4m2 (No. 119)
Symmetry-distinct sites (fractional):
Al1 0.0000 0.0000 0.0000 [2 per cell]  4 Hg 2.87, 4 Cu 2.89, 4 Al 2.89
Al2 0.0000 0.5000 0.2500 [2 per cell]  4 Cu 2.87, 4 Hg 2.89, 4 Al 2.89
Cu1 0.0000 0.5000 0.7500 [2 per cell]  8 Al 2.87-2.89, 4 Hg 2.89
Hg1 0.0000 0.0000 0.5000 [2 per cell]  8 Al 2.87-2.89, 4 Cu 2.89

Properties
Mass density in g cm⁻³: 7.81
Uncorrected energy in eV/cell: -22.7

---

(2)
## Al2CuHg (PBE)

Data for crystalline Al2CuHg at its relaxed geometry.

a = 4.5809 Å, b = 3.2270 Å, c = 5.0276 Å
α = 90.00°, β = 112.87°, γ = 90.00°
With the nearest neighbours (Å) after each atom.
Space group P2/m (No. 10)
Symmetry-distinct sites (fractional):
Al1 0.0000 0.0000 0.0000 [1 per cell]  2 Cu 2.66, 4 Hg 2.80
Al2 0.0000 0.5000 0.5000 [1 per cell]  2 Hg 2.66, 4 Cu 2.80
Cu1 0.5000 0.0000 0.5000 [1 per cell]  6 Al 2.66-2.80
Hg1 0.5000 0.5000 0.0000 [1 per cell]  6 Al 2.66-2.80

Properties
Mass density in g cm⁻³: 7.71
Uncorrected energy in eV/cell: -11.5

---

(3)
## Al2CuHg (PBE)

Data for crystalline Al2CuHg at its relaxed geometry.

a = 4.0899 Å, b = 4.0899 Å, c = 8.0762 Å
α = 90.00°, β = 90.00°, γ = 90.00°
With the nearest neighbours (Å) after each atom.
Space group I4/mmm (No. 139)
Symmetry-distinct sites (fractional):
Al1 0.0000 0.5000 0.2500 [4 per cell]  4 Hg 2.87, 4 Cu 2.87, 4 Al 2.89
Cu1 0.0000 0.0000 0.0000 [2 per cell]  8 Al 2.87, 4 Hg 2.89
Hg1 0.0000 0.0000 0.5000 [2 per cell]  8 Al 2.87, 4 Cu 2.89

Properties
Mass density in g cm⁻³: 7.82
Uncorrected energy in eV/cell: -22.7

---

(4)
## Al2CuHg (PBE)

Data for crystalline Al2CuHg at its relaxed geometry.

a = 5.3183 Å, b = 7.5187 Å, c = 3.4663 Å
α = 90.00°, β = 90.00°, γ = 90.00°
With the nearest neighbours (Å) after each atom.
Space group Cmmm (No. 65)
Symmetry-distinct sites (fractional):
Al1 0.2500 0.2500 0.0000 [4 per cell]  2 Al 2.66, 4 Hg 2.88, 4 Cu 2.88
Cu1 0.0000 0.0000 0.5000 [2 per cell]  2 Hg 2.66, 8 Al 2.88
Hg1 0.0000 0.5000 0.5000 [2 per cell]  2 Cu 2.66, 8 Al 2.88

Properties
Mass density in g cm⁻³: 7.62
Uncorrected energy in eV/cell: -22.6

---

(5)
## AlCu2Hg (PBE)

Data for crystalline AlCu2Hg at its relaxed geometry.

a = 2.9934 Å, b = 2.9934 Å, c = 25.0175 Å
α = 90.00°, β = 90.00°, γ = 120.00°
With the nearest neighbours (Å) after each atom.
Space group R3m (No. 160, hexagonal axes)
Symmetry-distinct sites (fractional):
Al1 0.0000 0.0000 0.0000 [3 per cell]  3 Cu 2.54
Cu1 0.0000 0.0000 0.2590 [3 per cell]  3 Cu 2.52, 3 Al 2.54
Cu2 0.0000 0.0000 0.5187 [3 per cell]  3 Cu 2.52, 3 Hg 2.82
Hg1 0.0000 0.0000 0.7630 [3 per cell]  3 Cu 2.82, 3 Al 2.97, 6 Hg 2.99

Properties
Mass density in g cm⁻³: 9.10
Uncorrected energy in eV/cell: -34.8
Energy above the most stable polymorph in this dataset in eV per formula unit: 0.61

---

(6)
## AlCu2Hg (PBE)

Data for crystalline AlCu2Hg at its relaxed geometry.

a = 6.2470 Å, b = 6.2470 Å, c = 6.2470 Å
α = 90.00°, β = 90.00°, γ = 90.00°
With the nearest neighbours (Å) after each atom.
Space group F-43m (No. 216)
Symmetry-distinct sites (fractional):
Al1 0.0000 0.0000 0.0000 [4 per cell]  4 Hg 2.71, 4 Cu 2.71
Cu1 0.0000 0.0000 0.5000 [4 per cell]  4 Cu 2.71, 4 Hg 2.71
Cu2 0.2500 0.2500 0.2500 [4 per cell]  4 Al 2.71, 4 Cu 2.71
Hg1 0.2500 0.2500 0.7500 [4 per cell]  4 Cu 2.71, 4 Al 2.71

Properties
Mass density in g cm⁻³: 9.66
Uncorrected energy in eV/cell: -46.9
Energy above the most stable polymorph in this dataset in eV per formula unit: 0.49

---

(7)
## AlCu2Hg (PBE)

Data for crystalline AlCu2Hg at its relaxed geometry.

a = 2.9219 Å, b = 2.9219 Å, c = 25.6100 Å
α = 90.00°, β = 90.00°, γ = 120.00°
With the nearest neighbours (Å) after each atom.
Space group R-3m (No. 166, hexagonal axes)
Symmetry-distinct sites (fractional):
Al1 0.0000 0.0000 0.0000 [3 per cell]  6 Cu 2.57
Cu1 0.0000 0.0000 0.2577 [6 per cell]  3 Al 2.57, 3 Hg 2.88
Hg1 0.0000 0.0000 0.5000 [3 per cell]  6 Cu 2.88, 6 Hg 2.92

Properties
Mass density in g cm⁻³: 9.33
Uncorrected energy in eV/cell: -35.5
Energy above the most stable polymorph in this dataset in eV per formula unit: 0.39

---

(8)
## AlCu2Hg (PBE)

Data for crystalline AlCu2Hg at its relaxed geometry.

a = 3.0318 Å, b = 3.2542 Å, c = 6.1048 Å
α = 90.00°, β = 90.00°, γ = 90.00°
With the nearest neighbours (Å) after each atom.
Space group Pmmm (No. 47)
Symmetry-distinct sites (fractional):
Al1 0.0000 0.0000 0.0000 [1 per cell]  8 Cu 2.58
Cu1 0.5000 0.5000 0.2127 [2 per cell]  4 Al 2.58, 1 Cu 2.60, 4 Hg 2.83
Hg1 0.0000 0.0000 0.5000 [1 per cell]  8 Cu 2.83, 2 Hg 3.03, 2 Al 3.05

Properties
Mass density in g cm⁻³: 9.78
Uncorrected energy in eV/cell: -12.2
Energy above the most stable polymorph in this dataset in eV per formula unit: 0.00

---

Question: The highest mass density belongs to which entry?
Answer: number 8

---

Question: Which value of mass density does entry 5 give?
Answer: 9.10 g cm⁻³